a) TlGePt3: optimized geometry, PBE.

Spin magnetization (μB per cell): 0.00
SG: No. 221

a b c (Å): 5.045 5.045 5.045
angles (deg): 90.00 90.00 90.00
Sites, in units of the cell vectors:
Ge  0.500  0.500  0.500
Tl  0.000  0.000  0.000
Pt  0.000  0.000  0.500
Pt  0.500  0.000  0.000
Pt  0.000  0.500  0.000

=====

b) TlGePt3: optimized geometry, PBE.

Spin magnetization (μB per cell): 0.00
SG: No. 221

a b c (Å): 4.733 4.733 4.733
angles (deg): 90.00 90.00 90.00
Sites, in units of the cell vectors:
Pt  0.000  0.500  0.000
Tl  0.500  0.500  0.500
Pt  0.000  0.000  0.500
Ge  0.000  0.000  0.000
Pt  0.500  0.000  0.000

=====

c) TlGePt3: optimized geometry, PBE.

Spin magnetization (μB per cell): 0.00
SG: No. 14

a b c (Å): 6.935 7.614 7.192
angles (deg): 94.65 90.00 90.00
Sites, in units of the cell vectors:
Tl  0.868  0.553  0.199
Pt  0.994  0.064  0.689
Ge  0.226  0.861  0.032
Pt  0.480  0.317  0.924
Pt  0.494  0.936  0.811
Tl  0.132  0.447  0.801
Pt  0.506  0.064  0.189
Pt  0.117  0.185  0.059
Pt  0.520  0.683  0.076
Pt  0.883  0.815  0.941
Ge  0.274  0.861  0.532
Pt  0.617  0.815  0.441
Pt  0.006  0.936  0.311
Tl  0.368  0.447  0.301
Ge  0.774  0.139  0.968
Tl  0.632  0.553  0.699
Pt  0.383  0.185  0.559
Pt  0.980  0.683  0.576
Pt  0.020  0.317  0.424
Ge  0.726  0.139  0.468

=====

So which one wins? Going from most stable to least: c), b), a).